DFT (PBE) results for a geometry-optimized Ti15Tl2Cd2 structure.

Geometry as POSCAR:
```
Ti15Tl2Cd2
1.0
4.605 2.659 4.861
-4.605 2.659 4.861
0.000 -5.318 4.861
Ti Tl Cd
15 2 2
Direct
0.000 0.000 0.500
0.000 0.303 0.697
0.000 0.500 0.000
0.000 0.697 0.303
0.162 0.627 0.627
0.303 0.000 0.697
0.303 0.697 0.000
0.373 0.373 0.838
0.373 0.838 0.373
0.500 0.000 0.000
0.627 0.162 0.627
0.627 0.627 0.162
0.697 0.000 0.303
0.697 0.303 0.000
0.838 0.373 0.373
0.323 0.323 0.323
0.677 0.677 0.677
0.097 0.097 0.097
0.903 0.903 0.903
```

Results
ρ in g cm⁻³: 6.28
DOS at the Fermi energy in states/eV/cell: 27.2

---

DFT (PBE) results for a geometry-optimized Ti2TlCd structure.

Geometry as POSCAR:
```
Ti2TlCd
1.0
3.565 0.000 0.000
0.000 3.565 0.000
0.000 0.000 6.118
Ti Tl Cd
2 1 1
Direct
0.000 0.000 0.247
0.000 0.000 0.753
0.500 0.500 0.500
0.500 0.500 0.000
```

Results
ρ in g cm⁻³: 8.81
DOS at the Fermi energy in states/eV/cell: 3.6

---

DFT (PBE) results for a geometry-optimized TiTl2Cd structure.

Geometry as POSCAR:
```
TiTl2Cd
1.0
1.631 0.942 10.941
-1.631 0.942 10.941
0.000 -1.884 10.941
Ti Tl Cd
1 2 1
Direct
0.000 0.000 0.000
0.086 0.086 0.086
0.914 0.914 0.914
0.500 0.500 0.500
```

Results
ρ in g cm⁻³: 9.37
DOS at the Fermi energy in states/eV/cell: 3.1

---

DFT (PBE) results for a geometry-optimized Ti2TlCd structure.

Geometry as POSCAR:
```
Ti2TlCd
1.0
-3.830 3.830 2.893
3.830 -3.830 2.893
3.830 3.830 -2.893
Ti Tl Cd
4 2 2
Direct
0.124 0.625 0.999
0.375 0.374 0.499
0.626 0.125 0.001
0.875 0.876 0.501
0.250 0.750 0.500
0.500 0.500 0.000
0.000 0.000 0.000
0.750 0.250 0.500
```

Results
ρ in g cm⁻³: 8.07
DOS at the Fermi energy in states/eV/cell: 9.6

---

DFT (PBE) results for a geometry-optimized TmTiTlCd structure.

Geometry as POSCAR:
```
TmTiTlCd
1.0
0.000 3.573 3.573
3.573 0.000 3.573
3.573 3.573 0.000
Tm Ti Tl Cd
1 1 1 1
Direct
0.000 0.000 0.000
0.500 0.500 0.500
0.750 0.750 0.750
0.250 0.250 0.250
```

Results
ρ in g cm⁻³: 9.71
DOS at the Fermi energy in states/eV/cell: 4.0

---

DFT (PBE) results for a geometry-optimized YTiTlCd structure.

Geometry as POSCAR:
```
YTiTlCd
1.0
0.000 3.604 3.604
3.604 0.000 3.604
3.604 3.604 0.000
Y Ti Tl Cd
1 1 1 1
Direct
0.000 0.000 0.000
0.500 0.500 0.500
0.250 0.250 0.250
0.750 0.750 0.750
```

Results
ρ in g cm⁻³: 8.05
DOS at the Fermi energy in states/eV/cell: 4.2

---

DFT (PBE) results for a geometry-optimized ZrTiTlCd2 structure.

Geometry as POSCAR:
```
ZrTiTlCd2
1.0
5.106 0.000 0.000
0.000 5.106 0.000
0.000 0.000 5.159
Zr Ti Tl Cd
1 1 1 2
Direct
0.000 0.000 0.000
0.500 0.500 0.500
0.500 0.500 0.000
0.000 0.500 0.500
0.500 0.000 0.500
```

Results
ρ in g cm⁻³: 7.02
DOS at the Fermi energy in states/eV/cell: 2.1

---

DFT (PBE) results for a geometry-optimized ZrTiTlCd2 structure.

Geometry as POSCAR:
```
ZrTiTlCd2
1.0
5.680 0.000 0.000
0.000 5.680 0.000
0.000 0.000 4.743
Zr Ti Tl Cd
1 1 1 2
Direct
0.000 0.000 0.000
0.000 0.000 0.500
0.500 0.500 0.500
0.000 0.500 0.000
0.500 0.000 0.000
```

Results
ρ in g cm⁻³: 6.17
DOS at the Fermi energy in states/eV/cell: 4.0

---

DFT (PBE) results for a geometry-optimized Tm2TiCd structure.

Geometry as POSCAR:
```
Tm2TiCd
1.0
4.984 0.000 0.000
0.000 4.984 0.000
0.000 0.000 3.945
Tm Ti Cd
2 1 1
Direct
0.000 0.500 0.000
0.500 0.000 0.000
0.000 0.000 0.500
0.500 0.500 0.500
```

Results
ρ in g cm⁻³: 8.44
DOS at the Fermi energy in states/eV/cell: 5.2

---

DFT (PBE) results for a geometry-optimized Tm2TiCd structure.

Geometry as POSCAR:
```
Tm2TiCd
1.0
1.629 0.941 11.192
-1.629 0.941 11.192
0.000 -1.881 11.192
Tm Ti Cd
2 1 1
Direct
0.087 0.087 0.087
0.913 0.913 0.913
0.000 0.000 0.000
0.500 0.500 0.500
```

Results
ρ in g cm⁻³: 8.04
DOS at the Fermi energy in states/eV/cell: 5.7

---

DFT (PBE) results for a geometry-optimized TmTiCd4 structure.

Geometry as POSCAR:
```
TmTiCd4
1.0
0.000 4.052 4.052
4.052 0.000 4.052
4.052 4.052 0.000
Tm Ti Cd
1 1 4
Direct
0.000 0.000 0.000
0.250 0.250 0.250
0.126 0.625 0.625
0.625 0.126 0.625
0.625 0.625 0.126
0.625 0.625 0.625
```

Results
ρ in g cm⁻³: 8.32
DOS at the Fermi energy in states/eV/cell: 4.7

---

DFT (PBE) results for a geometry-optimized Tm2TiCd structure.

Geometry as POSCAR:
```
Tm2TiCd
1.0
0.000 3.657 3.657
3.657 0.000 3.657
3.657 3.657 0.000
Tm Ti Cd
2 1 1
Direct
0.250 0.250 0.250
0.750 0.750 0.750
0.000 0.000 0.000
0.500 0.500 0.500
```

Results
ρ in g cm⁻³: 8.45
DOS at the Fermi energy in states/eV/cell: 8.5

---

DFT (PBE) results for a geometry-optimized Tm2TiCd structure.

Geometry as POSCAR:
```
Tm2TiCd
1.0
3.371 0.000 0.000
0.000 3.371 0.000
0.000 0.000 8.529
Tm Ti Cd
2 1 1
Direct
0.000 0.000 0.240
0.000 0.000 0.760
0.500 0.500 0.000
0.500 0.500 0.500
```

Results
ρ in g cm⁻³: 8.53
DOS at the Fermi energy in states/eV/cell: 3.8

---

DFT (PBE) results for a geometry-optimized UTiCd structure.

Geometry as POSCAR:
```
UTiCd
1.0
4.318 0.000 0.000
0.000 4.318 0.000
0.000 0.000 7.277
U Ti Cd
2 2 2
Direct
0.250 0.750 0.000
0.750 0.250 0.000
0.250 0.250 0.224
0.750 0.750 0.776
0.250 0.750 0.500
0.750 0.250 0.500
```

Results
ρ in g cm⁻³: 9.75
DOS at the Fermi energy in states/eV/cell: 9.1

---

DFT (PBE) results for a geometry-optimized UTi2Cd structure.

Geometry as POSCAR:
```
UTi2Cd
1.0
3.362 0.000 0.000
0.000 3.362 0.000
0.000 0.000 6.717
U Ti Cd
1 2 1
Direct
0.000 0.000 0.000
0.500 0.500 0.218
0.500 0.500 0.782
0.000 0.000 0.500
```

Results
ρ in g cm⁻³: 9.76
DOS at the Fermi energy in states/eV/cell: 7.6

---

DFT (PBE) results for a geometry-optimized TiVCd structure.

Geometry as POSCAR:
```
TiVCd
1.0
2.857 0.000 0.000
-1.367 4.499 0.000
-0.374 -1.188 9.450
Ti V Cd
2 2 2
Direct
0.147 0.404 0.131
0.853 0.596 0.869
0.352 0.103 0.897
0.648 0.897 0.103
0.221 0.973 0.364
0.779 0.027 0.636
```

Results
ρ in g cm⁻³: 5.78
DOS at the Fermi energy in states/eV/cell: 4.9

---

DFT (PBE) results for a geometry-optimized TiV4Cd2 structure.

Geometry as POSCAR:
```
TiV4Cd2
1.0
-2.179 2.179 7.298
2.179 -2.179 7.298
2.179 2.179 -7.298
Ti V Cd
1 4 2
Direct
0.000 0.000 0.000
0.000 0.500 0.500
0.176 0.176 0.000
0.500 0.000 0.500
0.824 0.824 0.000
0.369 0.369 0.000
0.631 0.631 0.000
```

Results
ρ in g cm⁻³: 5.71
DOS at the Fermi energy in states/eV/cell: 11.1

---

DFT (PBE) results for a geometry-optimized Ti2VCd structure.

Geometry as POSCAR:
```
Ti2VCd
1.0
3.152 0.000 0.000
0.000 3.152 0.000
0.000 0.000 6.894
Ti V Cd
2 1 1
Direct
0.000 0.000 0.211
0.000 0.000 0.789
0.500 0.500 0.000
0.500 0.500 0.500
```

Results
ρ in g cm⁻³: 6.28
DOS at the Fermi energy in states/eV/cell: 5.4

---

DFT (PBE) results for a geometry-optimized Ti2VCd structure.

Geometry as POSCAR:
```
Ti2VCd
1.0
2.534 -1.463 0.000
2.534 1.463 0.000
-1.677 0.000 9.371
Ti V Cd
2 1 1
Direct
0.000 0.000 0.000
0.183 0.183 0.547
0.591 0.591 0.773
0.758 0.758 0.274
```

Results
ρ in g cm⁻³: 6.19
DOS at the Fermi energy in states/eV/cell: 5.0

---

DFT (PBE) results for a geometry-optimized TiV3Cd structure.

Geometry as POSCAR:
```
TiV3Cd
1.0
4.867 0.000 0.000
0.000 4.867 0.000
0.000 0.000 4.867
Ti V Cd
1 3 1
Direct
0.000 0.000 0.000
0.000 0.500 0.500
0.500 0.000 0.500
0.500 0.500 0.000
0.500 0.500 0.500
```

Results
ρ in g cm⁻³: 4.51
DOS at the Fermi energy in states/eV/cell: 8.7

---

DFT (PBE) results for a geometry-optimized TiV3Cd structure.

Geometry as POSCAR:
```
TiV3Cd
1.0
4.466 0.000 0.000
0.000 4.466 0.000
0.000 0.000 4.466
Ti V Cd
1 3 1
Direct
0.000 0.000 0.000
0.000 0.000 0.500
0.000 0.500 0.000
0.500 0.000 0.000
0.500 0.500 0.500
```

Results
ρ in g cm⁻³: 5.84
DOS at the Fermi energy in states/eV/cell: 9.7

---

DFT (PBE) results for a geometry-optimized TiVCd structure.

Geometry as POSCAR:
```
TiVCd
1.0
-1.592 1.592 5.161
1.592 -1.592 5.161
1.592 1.592 -5.161
Ti V Cd
1 1 1
Direct
0.000 0.000 0.000
0.364 0.364 0.000
0.687 0.687 0.000
```

Results
ρ in g cm⁻³: 6.70
DOS at the Fermi energy in states/eV/cell: 3.5

---

DFT (PBE) results for a geometry-optimized Ti2VCd2 structure.

Geometry as POSCAR:
```
Ti2VCd2
1.0
-1.922 1.922 6.896
1.922 -1.922 6.896
1.922 1.922 -6.896
Ti V Cd
2 1 2
Direct
0.084 0.084 0.000
0.916 0.916 0.000
0.500 0.500 0.000
0.250 0.750 0.500
0.750 0.250 0.500
```

Results
ρ in g cm⁻³: 6.05
DOS at the Fermi energy in states/eV/cell: 6.3

---

DFT (PBE) results for a geometry-optimized Ti2VCd structure.

Geometry as POSCAR:
```
Ti2VCd
1.0
4.183 0.000 0.000
0.000 4.183 0.000
0.000 0.000 3.886
Ti V Cd
2 1 1
Direct
0.000 0.500 0.000
0.500 0.000 0.000
0.000 0.000 0.500
0.500 0.500 0.500
```

Results
ρ in g cm⁻³: 6.33
DOS at the Fermi energy in states/eV/cell: 5.0

---

DFT (PBE) results for a geometry-optimized TiVCd structure.

Geometry as POSCAR:
```
TiVCd
1.0
2.343 -2.343 0.000
2.343 2.343 0.000
-0.024 0.000 10.272
Ti V Cd
2 2 2
Direct
0.248 0.248 0.212
0.752 0.752 0.788
0.250 0.750 0.000
0.750 0.250 0.000
0.251 0.251 0.599
0.749 0.749 0.401
```

Results
ρ in g cm⁻³: 6.22
DOS at the Fermi energy in states/eV/cell: 7.7

---

DFT (PBE) results for a geometry-optimized TiV4Cd structure.

Geometry as POSCAR:
```
TiV4Cd
1.0
0.000 3.583 3.583
3.583 0.000 3.583
3.583 3.583 0.000
Ti V Cd
1 4 1
Direct
0.000 0.000 0.000
0.114 0.629 0.629
0.629 0.114 0.629
0.629 0.629 0.114
0.629 0.629 0.629
0.250 0.250 0.250
```

Results
ρ in g cm⁻³: 6.57
DOS at the Fermi energy in states/eV/cell: 8.6

---

DFT (PBE) results for a geometry-optimized Ti2VCd2 structure.

Geometry as POSCAR:
```
Ti2VCd2
1.0
7.698 0.000 0.000
0.000 7.698 0.000
0.000 0.000 3.158
Ti V Cd
4 2 4
Direct
0.160 0.340 0.000
0.340 0.840 0.000
0.660 0.160 0.000
0.840 0.660 0.000
0.000 0.000 0.000
0.500 0.500 0.000
0.141 0.641 0.500
0.359 0.141 0.500
0.641 0.859 0.500
0.859 0.359 0.500
```

Results
ρ in g cm⁻³: 6.59
DOS at the Fermi energy in states/eV/cell: 11.1

---

DFT (PBE) results for a geometry-optimized Ti2VCd structure.

Geometry as POSCAR:
```
Ti2VCd
1.0
-1.940 1.940 9.635
1.940 -1.940 9.635
1.940 1.940 -9.635
Ti V Cd
4 2 2
Direct
0.110 0.625 0.985
0.375 0.360 0.485
0.640 0.125 0.015
0.875 0.890 0.515
0.000 0.000 0.000
0.750 0.250 0.500
0.250 0.750 0.500
0.500 0.500 0.000
```

Results
ρ in g cm⁻³: 5.93
DOS at the Fermi energy in states/eV/cell: 12.0

---

The calculation returns the following energy of formation values, one per record and in order: 5.75 0.56 1.60 1.79 -0.17 -0.26 4.29 4.22 0.06 1.41 -0.13 0.17 -0.25 1.96 0.71 0.71 7.52 0.01 0.59 9.33 5.69 0.55 3.22 0.60 1.14 1.02 2.76 2.45 eV/f.u..
The calculation returns the following spin magnetization values, one per record and in order: 0.227 0.000 0.001 0.000 0.469 0.476 0.209 0.000 0.668 0.547 0.443 0.650 0.000 0.367 0.372 0.000 0.787 0.000 0.001 1.824 0.225 0.540 0.228 0.185 0.000 0.000 0.000 0.095 μB per atom.